Material: HoMnB4
Method: DFT, PBE
State: optimized geometry

## Properties
Its symmetry is Pbam. The value obtained for the energy of formation from the pure elements is -0.664 eV/atom. The density of states at the Fermi level is 0.236 states/eV/atom.

Cell: 3.3916 5.8967 11.3992 Å, 90.00 90.00 90.00°
Last column: nearest neighbours and their distance in Å.
Positions (direct):
B1 0.0000 0.6123 0.5464  3 B 1.70-1.73
B2 0.0000 0.9751 0.1912  3 B 1.73-1.83
B3 0.0000 0.8877 0.0464  3 B 1.70-1.73
B4 0.0000 0.3877 0.4536  3 B 1.70-1.73
B5 0.0000 0.6378 0.9678  3 B 1.72-1.79
B6 0.0000 0.2187 0.6839  3 B 1.79-1.83
B7 0.0000 0.2813 0.1839  3 B 1.79-1.83
B8 0.0000 0.7813 0.3161  3 B 1.79-1.83
B9 0.0000 0.1123 0.9536  3 B 1.70-1.73
B10 0.0000 0.7187 0.8161  3 B 1.79-1.83
B11 0.0000 0.0249 0.8088  3 B 1.73-1.83
B12 0.0000 0.3622 0.0322  3 B 1.72-1.79
B13 0.0000 0.1378 0.5322  3 B 1.72-1.79
B14 0.0000 0.4751 0.3088  3 B 1.73-1.83
B15 0.0000 0.5249 0.6912  3 B 1.73-1.83
B16 0.0000 0.8622 0.4678  3 B 1.72-1.79
Mn1 0.5000 0.1278 0.0839  10 B 2.24-2.28, 1 Mn 2.43
Mn2 0.5000 0.6278 0.4161  10 B 2.24-2.28, 1 Mn 2.43
Mn3 0.5000 0.8722 0.9161  10 B 2.24-2.28, 1 Mn 2.43
Mn4 0.5000 0.3722 0.5839  10 B 2.24-2.28, 1 Mn 2.43
Ho1 0.5000 0.8739 0.6504  14 B 2.58-2.71
Ho2 0.5000 0.3739 0.8496  14 B 2.58-2.71
Ho3 0.5000 0.1261 0.3496  14 B 2.58-2.71
Ho4 0.5000 0.6261 0.1504  14 B 2.58-2.71

Material: HoMn4B4
Method: DFT, PBE
State: optimized geometry

## Properties
Its symmetry is P4_2/n. The value obtained for the energy of formation from the pure elements is -0.450 eV/atom. The density of states at the Fermi level is 0.683 states/eV/atom.

Cell: 3.9256 7.0083 7.0083 Å, 90.00 90.00 90.00°
Last column: nearest neighbours and their distance in Å.
Positions (direct):
Ho1 0.5000 0.5000 0.5000  8 B 2.70-2.90, 4 Mn 2.86
Ho2 0.0000 0.0000 0.0000  8 B 2.70-2.90, 4 Mn 2.86
B1 0.8856 0.3281 0.8077  1 B 1.73
B2 0.3856 0.6923 0.8281  1 B 1.73
B3 0.1144 0.1923 0.3281  1 B 1.73
B4 0.6144 0.8281 0.3077  1 B 1.73
B5 0.1144 0.8077 0.6719  1 B 1.73
B6 0.3856 0.3077 0.1719  1 B 1.73
B7 0.6144 0.1719 0.6923  1 B 1.73
B8 0.8856 0.6719 0.1923  1 B 1.73
Mn1 0.6188 0.8821 0.6291  4 B 2.04-2.13
Mn2 0.1188 0.1291 0.6179  4 B 2.04-2.13
Mn3 0.3812 0.3709 0.8821  4 B 2.04-2.13
Mn4 0.3812 0.6291 0.1179  4 B 2.04-2.13
Mn5 0.1188 0.8709 0.3821  4 B 2.04-2.13
Mn6 0.8812 0.3821 0.1291  4 B 2.04-2.13
Mn7 0.6188 0.1179 0.3709  4 B 2.04-2.13
Mn8 0.8812 0.6179 0.8709  4 B 2.04-2.13

- Among the records above, which one has the highest energy of formation from the pure elements?
  HoMn4B4

- Which of these has the lowest energy of formation from the pure elements?
  HoMnB4

- Among the records above, which one has the lowest energy of formation from the pure elements?
  HoMnB4

- What is the formula in the second record?
  HoMn4B4